First-principles (GGA+U) data for a geometry-optimized LiHoMoO4 structure, as listed in Alexandria.

Results
DFT total energy, eV/atom: -7.166
SG: Imma (74)

Cell lengths 6.3157, 6.4898, 6.7640 Å; angles 121.41, 90.00, 119.12 degrees
Closest atoms and distances in Å follow each position.
Element x y z (fractional)
O 0.2535 0.5071 0.2930  2 Mo 2.13, 1 Ho 2.26
O 0.2535 0.5071 0.7141  2 Mo 2.13, 1 Ho 2.26
O 0.2400 0.9516 0.7258  1 Li 2.01, 1 Mo 2.06
O 0.7116 0.9516 0.7258  1 Li 2.01, 1 Mo 2.06
O 0.7600 0.0484 0.2742  1 Li 2.01, 1 Mo 2.06
O 0.7465 0.4929 0.7070  2 Mo 2.13, 1 Ho 2.26
O 0.7465 0.4929 0.2859  2 Mo 2.13, 1 Ho 2.26
O 0.2884 0.0484 0.2742  1 Li 2.01, 1 Mo 2.06
Mo 0.0000 0.5000 0.5000  6 O 2.06-2.13
Mo 0.5000 0.5000 0.5000  6 O 2.06-2.13
Ho 0.5000 0.0000 0.5000  6 O 2.26
Ho 0.5000 0.0000 0.0000  6 O 2.26
Li 0.9002 0.8004 0.1502  2 O 2.01
Li 0.0998 0.1996 0.8498  2 O 2.01